An optimized crystal structure of SrLi2Bi2, computed with GGA-PBEsol.

## Properties
* density of states at the Fermi level: 1.519 states/eV/cell
* E_tot: -0.129 Ha/atom
* ΔH_f (0 K): -628.4 meV/atom
* distance to the lowest polymorph of the same formula: 0 meV per atom
* symmetry: I4/mmm, No. 139

a = 4.679 Å, b = 4.679 Å, c = 6.952 Å
α = 109.67°, β = 109.67°, γ = 90.00°
Element x y z (fractional)
Sr 0.000 0.000 0.000
Bi 0.376 0.376 0.752
Bi 0.624 0.624 0.248
Li 0.250 0.750 0.500
Li 0.750 0.250 0.500